[1]
Here is Tb4ErTh after structural relaxation from the Alexandria database. Energies are from PBE-GGA.

Cell: 6.535 6.535 6.535 Å, 60.00 60.00 60.00°
Sites, in units of the cell vectors:
Tb: 0.625 0.625 0.126
Tb: 0.625 0.126 0.625
Tb: 0.625 0.625 0.625
Tb: 0.126 0.625 0.625
Th: 0.250 0.250 0.250
Er: 0.000 0.000 0.000

Space group: F-43m (216)
Energy of formation from the pure elements in eV per atom: 0.3251
Distance to the lowest polymorph of the same formula in kJ per mole of atoms: 28.8
Fermi-level density of states in states/eV per cell: 12.46
M_tot in μB/f.u.: 1.84

[2]
Here is LiZnCdAu2 after structural relaxation from the Alexandria database. Energies are from PBE-GGA.

Cell: 4.132 6.371 6.527 Å, 90.23 90.00 90.00°
Sites, in units of the cell vectors:
Li: 0.250 0.563 0.670
Li: 0.750 0.437 0.330
Zn: 0.250 0.948 0.830
Zn: 0.750 0.052 0.170
Cd: 0.250 0.729 0.249
Cd: 0.750 0.271 0.751
Au: 0.750 0.834 0.537
Au: 0.750 0.682 0.946
Au: 0.250 0.166 0.463
Au: 0.250 0.318 0.054

Space group: P2_1/m (11)
Energy of formation from the pure elements in eV per atom: -0.3088
Fermi-level density of states in states/eV per cell: 2.49
M_tot in μB/f.u.: 0.00

[3]
Here is La2Tb2Y7 after structural relaxation from the Alexandria database. Energies are from PBE-GGA.

Cell: 6.096 8.741 8.741 Å, 84.27 63.84 63.84°
Sites, in units of the cell vectors:
La: 0.500 0.211 0.789
La: 0.500 0.789 0.211
Tb: 0.886 0.764 0.764
Tb: 0.114 0.236 0.236
Y: 0.173 0.591 0.064
Y: 0.827 0.936 0.409
Y: 0.827 0.409 0.936
Y: 0.173 0.064 0.591
Y: 0.378 0.407 0.407
Y: 0.000 0.000 0.000
Y: 0.622 0.593 0.593

Space group: C2/m (12)
Energy of formation from the pure elements in eV per atom: 0.1603
Distance to the lowest polymorph of the same formula in kJ per mole of atoms: 0.0
Fermi-level density of states in states/eV per cell: 17.81
M_tot in μB/f.u.: 0.00

[4]
Here is Ac2CeMgTe5 after structural relaxation from the Alexandria database. Energies are from PBE-GGA.

Cell: 4.571 10.070 13.791 Å, 90.00 90.00 103.12°
Sites, in units of the cell vectors:
Ac: 0.869 0.738 0.810
Ac: 0.114 0.228 0.686
Ac: 0.131 0.262 0.310
Ac: 0.886 0.772 0.186
Ce: 0.798 0.595 0.511
Ce: 0.202 0.405 0.011
Mg: 0.555 0.109 0.954
Mg: 0.445 0.891 0.454
Te: 0.364 0.729 0.001
Te: 0.686 0.372 0.849
Te: 0.496 0.992 0.774
Te: 0.289 0.577 0.672
Te: 0.954 0.909 0.567
Te: 0.636 0.271 0.501
Te: 0.314 0.628 0.349
Te: 0.504 0.008 0.274
Te: 0.711 0.423 0.172
Te: 0.046 0.091 0.067

Space group: Cmc2_1 (36)
Raw formation energy in eV/atom: -1.3491
Fermi-level density of states in states/eV per cell: 18.04
M_tot in μB/f.u.: 1.30

[5]
Here is BaTl9Cd2 after structural relaxation from the Alexandria database. Energies are from PBE-GGA.

Cell: 8.663 10.309 10.309 Å, 79.83 65.16 65.16°
Sites, in units of the cell vectors:
Ba: 0.500 0.000 0.000
Ba: 0.250 0.500 0.500
Tl: 0.750 0.500 0.500
Tl: 0.000 0.000 0.000
Tl: 0.997 0.924 0.679
Tl: 0.600 0.076 0.321
Tl: 0.671 0.179 0.576
Tl: 0.426 0.821 0.424
Tl: 0.753 0.821 0.576
Tl: 0.150 0.179 0.424
Tl: 0.079 0.924 0.321
Tl: 0.324 0.076 0.679
Tl: 0.753 0.576 0.821
Tl: 0.150 0.424 0.179
Tl: 0.079 0.321 0.924
Tl: 0.324 0.679 0.076
Tl: 0.997 0.679 0.924
Tl: 0.600 0.321 0.076
Tl: 0.671 0.576 0.179
Tl: 0.426 0.424 0.821
Cd: 0.875 0.250 0.750
Cd: 0.875 0.750 0.250
Cd: 0.875 0.250 0.250
Cd: 0.375 0.750 0.750

Space group: I4_1/amd (141)
Energy of formation from the pure elements in eV per atom: -0.0763
Distance to the lowest polymorph of the same formula in kJ per mole of atoms: 0.0
Fermi-level density of states in states/eV per cell: 12.10
M_tot in μB/f.u.: 0.00

[6]
Here is Ac2BPd2Pt4 after structural relaxation from the Alexandria database. Energies are from PBE-GGA.

Cell: 6.254 6.254 6.254 Å, 88.04 121.14 121.14°
Sites, in units of the cell vectors:
Ac: 0.500 0.750 0.250
Ac: 0.500 0.250 0.750
B: 0.000 0.000 0.000
Pd: 0.000 0.733 0.733
Pd: 0.000 0.267 0.267
Pt: 0.000 0.750 0.250
Pt: 0.499 0.750 0.750
Pt: 0.000 0.250 0.750
Pt: 0.501 0.250 0.250

Space group: I4/mmm (139)
Energy of formation from the pure elements in eV per atom: -0.7915
Fermi-level density of states in states/eV per cell: 5.24
M_tot in μB/f.u.: 0.00

[7]
Here is BeCo2Si after structural relaxation from the Alexandria database. Energies are from PBE-GGA.

Cell: 3.665 2.608 4.392 Å, 72.75 90.00 90.00°
Sites, in units of the cell vectors:
Be: 0.500 0.539 0.798
Si: 0.000 0.706 0.462
Co: 0.000 0.978 0.920
Co: 0.500 0.277 0.320

Space group: Amm2 (38)
Raw formation energy in eV/atom: -0.3874
Distance to the lowest polymorph of the same formula in kJ per mole of atoms: 20.3
Fermi-level density of states in states/eV per cell: 2.68
M_tot in μB/f.u.: 0.00

[8]
Here is PuAlTcRh after structural relaxation from the Alexandria database. Energies are from PBE-GGA.

Cell: 4.555 4.555 4.555 Å, 60.00 60.00 60.00°
Sites, in units of the cell vectors:
Al: 0.250 0.250 0.250
Rh: 0.000 0.000 0.000
Tc: 0.500 0.500 0.500
Pu: 0.750 0.750 0.750

Space group: F-43m (216)
Energy of formation from the pure elements in eV per atom: -0.4449
Fermi-level density of states in states/eV per cell: 3.07
M_tot in μB/f.u.: 3.84

[9]
Here is InReSi after structural relaxation from the Alexandria database. Energies are from PBE-GGA.

Cell: 4.152 4.152 3.533 Å, 90.00 90.00 120.00°
Sites, in units of the cell vectors:
In: 0.000 0.000 0.000
Re: 0.667 0.333 0.500
Si: 0.333 0.667 0.500

Space group: P-6m2 (187)
Raw formation energy in eV/atom: 0.2501
Fermi-level density of states in states/eV per cell: 1.18
M_tot in μB/f.u.: 0.00

[10]
Here is K3Ac3AlSe8 after structural relaxation from the Alexandria database. Energies are from PBE-GGA.

Cell: 8.803 8.817 9.400 Å, 118.02 90.00 119.95°
Sites, in units of the cell vectors:
K: 0.000 0.000 0.000
K: 0.000 0.500 0.000
K: 0.500 0.500 0.000
Ac: 0.500 0.000 0.500
Ac: 0.500 0.500 0.500
Ac: 0.000 0.500 0.500
Al: 0.000 0.000 0.500
Se: 0.260 0.519 0.279
Se: 0.740 0.481 0.721
Se: 0.792 0.584 0.307
Se: 0.208 0.416 0.693
Se: 0.792 0.014 0.306
Se: 0.208 0.986 0.694
Se: 0.222 0.014 0.306
Se: 0.778 0.986 0.694

Space group: C2/m (12)
Raw formation energy in eV/atom: -1.4557
Fermi-level density of states in states/eV per cell: 21.08
M_tot in μB/f.u.: 0.00

[11]
Here is Er5Bi2AuC after structural relaxation from the Alexandria database. Energies are from PBE-GGA.

Cell: 4.673 4.673 10.849 Å, 90.00 90.00 90.00°
Sites, in units of the cell vectors:
Er: 0.000 0.500 0.500
Er: 0.500 0.000 0.500
Er: 0.000 0.000 0.738
Er: 0.000 0.000 0.262
Er: 0.500 0.500 0.000
Bi: 0.500 0.500 0.289
Bi: 0.500 0.500 0.711
Au: 0.000 0.000 0.000
C: 0.000 0.000 0.500

Space group: P4/mmm (123)
Energy of formation from the pure elements in eV per atom: -0.5540
Fermi-level density of states in states/eV per cell: 7.25
M_tot in μB/f.u.: 0.00

[12]
Here is BeB3H after structural relaxation from the Alexandria database. Energies are from PBE-GGA.

Cell: 3.448 3.448 3.448 Å, 90.00 90.00 90.00°
Sites, in units of the cell vectors:
Be: 0.000 0.000 0.000
B: 0.000 0.500 0.000
B: 0.000 0.000 0.500
B: 0.500 0.000 0.000
H: 0.500 0.500 0.500

Space group: Pm-3m (221)
Distance to the lowest polymorph of the same formula in kJ per mole of atoms: 55.1
Fermi-level density of states in states/eV per cell: 1.88
M_tot in μB/f.u.: 0.00